No. 1
DFT (PBE) results for crystalline NpAl2Ga at its relaxed geometry.

Computed properties:
The volume comes out at 76.4 Å³/f.u. The calculation puts the formation energy at 144.6 meV/atom. The space-group type is Fm-3m.

Lattice parameters (Å, degrees): 4.763 4.763 4.764 60.01 60.01 60.00
Site moments in Bohr magnetons follow the coordinates.
Atoms (fractional coordinates):
1 Ga 0.000 0.000 0.000  -0.04
2 Al 0.250 0.250 0.250  -0.01
3 Al 0.750 0.750 0.750  -0.01
4 Np 0.500 0.500 0.500  3.72

=====

No. 2
DFT (PBE) results for crystalline Np2Al3Ga4 at its relaxed geometry.

Computed properties:
The volume comes out at 170.9 Å³/f.u. The calculation puts the formation energy at -129.4 meV/atom. The space-group type is Cmce.

Lattice parameters (Å, degrees): 5.774 7.824 8.100 90.00 110.88 90.00
Site moments in Bohr magnetons follow the coordinates.
Atoms (fractional coordinates):
1 Np 0.107 0.592 0.214  3.85
2 Np 0.393 0.092 0.786  3.85
3 Np 0.607 0.908 0.214  3.85
4 Np 0.893 0.408 0.786  3.85
5 Ga 0.306 0.250 0.112  -0.02
6 Ga 0.821 0.034 0.642  -0.01
7 Ga 0.321 0.466 0.642  -0.01
8 Ga 0.679 0.534 0.358  -0.01
9 Ga 0.806 0.250 0.112  -0.02
10 Ga 0.179 0.966 0.358  -0.01
11 Ga 0.194 0.750 0.888  -0.02
12 Ga 0.694 0.750 0.888  -0.02
13 Al 0.526 0.750 0.552  -0.02
14 Al 0.026 0.750 0.552  -0.02
15 Al 0.000 0.000 0.000  -0.03
16 Al 0.474 0.250 0.448  -0.02
17 Al 0.974 0.250 0.448  -0.02
18 Al 0.500 0.500 0.000  -0.03

=====

No. 3
DFT (PBE) results for crystalline Np2AlGa2 at its relaxed geometry.

Computed properties:
The volume comes out at 89.3 Å³/f.u. The calculation puts the formation energy at -138.1 meV/atom. The space-group type is P2/m.

Lattice parameters (Å, degrees): 2.745 4.927 7.060 110.65 90.00 90.00
Site moments in Bohr magnetons follow the coordinates.
Atoms (fractional coordinates):
1 Ga 0.000 0.799 0.599  -0.01
2 Ga 0.000 0.201 0.401  -0.01
3 Np 0.500 0.591 0.180  1.08
4 Np 0.500 0.409 0.820  1.08
5 Al 0.000 0.000 0.000  -0.02

=====

No. 4
DFT (PBE) results for crystalline NpAl4Ga at its relaxed geometry.

Computed properties:
The volume comes out at 114.7 Å³/f.u. The calculation puts the formation energy at 65.9 meV/atom. The space-group type is F-43m.

Lattice parameters (Å, degrees): 5.454 5.454 5.454 60.00 60.00 60.00
Site moments in Bohr magnetons follow the coordinates.
Atoms (fractional coordinates):
1 Al 0.126 0.625 0.625  0.01
2 Al 0.625 0.126 0.625  0.01
3 Al 0.625 0.625 0.126  0.01
4 Al 0.625 0.625 0.625  0.01
5 Np 0.250 0.250 0.250  4.01
6 Ga 0.000 0.000 0.000  0.01

=====

No. 5
DFT (PBE) results for crystalline NpAl4Ga at its relaxed geometry.

Computed properties:
The volume comes out at 112.6 Å³/f.u. The calculation puts the formation energy at -15.5 meV/atom. The space-group type is Cmcm.

Lattice parameters (Å, degrees): 3.994 6.847 8.472 90.00 103.63 90.00
Site moments in Bohr magnetons follow the coordinates.
Atoms (fractional coordinates):
1 Np 0.609 0.750 0.219  3.88
2 Np 0.391 0.250 0.781  3.88
3 Al 0.575 0.250 0.149  -0.01
4 Al 0.833 0.941 0.665  0.00
5 Al 0.000 0.000 0.000  -0.01
6 Al 0.425 0.750 0.851  -0.01
7 Al 0.167 0.059 0.335  0.00
8 Al 0.833 0.559 0.665  0.00
9 Al 0.000 0.500 0.000  -0.01
10 Al 0.167 0.441 0.335  0.00
11 Ga 0.743 0.250 0.486  -0.02
12 Ga 0.257 0.750 0.514  -0.02

=====

No. 6
DFT (PBE) results for crystalline NpAlGa4 at its relaxed geometry.

Computed properties:
The volume comes out at 113.4 Å³/f.u. The calculation puts the formation energy at -61.3 meV/atom. The space-group type is Cmmm.

Lattice parameters (Å, degrees): 4.537 4.191 6.320 70.64 90.00 90.00
Site moments in Bohr magnetons follow the coordinates.
Atoms (fractional coordinates):
1 Al 0.500 0.500 0.000  0.01
2 Ga 0.000 0.319 0.363  -0.02
3 Ga 0.500 0.834 0.331  0.04
4 Ga 0.500 0.166 0.669  0.04
5 Ga 0.000 0.681 0.637  -0.02
6 Np 0.000 0.000 0.000  3.80

=====

No. 7
DFT (PBE) results for crystalline NpAl6Ga at its relaxed geometry.

Computed properties:
The volume comes out at 147.2 Å³/f.u. The calculation puts the formation energy at -0.4 meV/atom. The space-group type is Cmmm.

Lattice parameters (Å, degrees): 4.692 5.855 5.855 113.80 90.00 90.00
Site moments in Bohr magnetons follow the coordinates.
Atoms (fractional coordinates):
1 Np 0.500 0.500 0.500  3.78
2 Al 0.000 0.795 0.795  0.01
3 Al 0.500 0.500 0.000  0.02
4 Al 0.500 0.000 0.500  0.02
5 Al 0.000 0.287 0.713  0.00
6 Al 0.000 0.205 0.205  0.01
7 Al 0.000 0.713 0.287  0.00
8 Ga 0.500 0.000 0.000  -0.01

=====

No. 8
DFT (PBE) results for crystalline Np2Al3Ga3 at its relaxed geometry.

Computed properties:
The volume comes out at 154.5 Å³/f.u. The calculation puts the formation energy at -145.6 meV/atom. The space-group type is Pmmm.

Lattice parameters (Å, degrees): 4.227 4.268 8.566 90.00 90.00 90.00
Site moments in Bohr magnetons follow the coordinates.
Atoms (fractional coordinates):
1 Al 0.000 0.500 0.500  0.01
2 Al 0.500 0.000 0.500  0.01
3 Al 0.000 0.500 0.000  0.01
4 Np 0.000 0.000 0.752  3.62
5 Np 0.000 0.000 0.248  3.62
6 Ga 0.500 0.500 0.257  0.01
7 Ga 0.500 0.000 0.000  0.02
8 Ga 0.500 0.500 0.743  0.01